VASP calculation (PBE with a Hubbard U) on a relaxed HgMo2F crystal.

a b c (Å): 4.5202 4.5202 4.5202
angles (deg): 60.00 60.00 60.00
Last column: nearest neighbours and their distance in Å.
Fractional positions:
F1 0.0000 0.0000 0.0000  8 Mo 2.77
Hg1 0.5000 0.5000 0.5000  8 Mo 2.77
Mo1 0.2500 0.2500 0.2500  4 Hg 2.77, 4 F 2.77
Mo2 0.7500 0.7500 0.7500  4 Hg 2.77, 4 F 2.77

Results
- DFT total energy: -11.6 eV per cell